Compound: Ga2Tc
Source: OQMD via LeMat-Bulk
Functional: PBE
Structure: optimized geometry

Lattice parameters (Å, degrees): 2.853 2.853 6.029 90.00 90.00 90.00
Sites, in units of the cell vectors:
Ga 0.500 0.500 0.709
Ga 0.500 0.500 0.291
Tc 0.000 0.000 0.000

Values from the calculation:
Space group: No. 123
Crystal system: tetragonal
Polymorph energy (0 for the lowest one): 0.28 eV/f.u.


Compound: Ga2Tc
Source: OQMD via LeMat-Bulk
Functional: PBE
Structure: optimized geometry

Lattice parameters (Å, degrees): 4.992 4.992 4.992 60.00 60.00 60.00
Each line ends with the local moment (μB).
Sites, in units of the cell vectors:
Ga 0.125 0.625 0.625  0.00
Tc 0.250 0.250 0.250  0.31
Ga 0.625 0.125 0.625  -0.01
Ga 0.625 0.625 0.625  -0.01
Ga 0.625 0.625 0.125  -0.01
Tc 0.000 0.000 0.000  0.31

Values from the calculation:
Space group: No. 227
Crystal system: cubic
Polymorph energy (0 for the lowest one): 1.55 eV/f.u.


Compound: Ga2Tc
Source: OQMD via LeMat-Bulk
Functional: PBE
Structure: optimized geometry

Lattice parameters (Å, degrees): 9.790 9.007 5.274 82.07 65.68 32.25
Sites, in units of the cell vectors:
Tc 0.126 0.126 0.874
Tc 0.124 0.124 0.376
Ga 0.086 0.414 0.086
Ga 0.402 0.402 0.598
Ga 0.652 0.652 0.848
Ga 0.598 0.598 0.402
Ga 0.848 0.848 0.652
Ga 0.414 0.086 0.414
Tc 0.376 0.376 0.124
Ga 0.164 0.836 0.164
Tc 0.874 0.874 0.126
Ga 0.836 0.164 0.836

Values from the calculation:
Space group: No. 70
Crystal system: orthorhombic
Polymorph energy (0 for the lowest one): 0.00 eV/f.u.


Compound: Ga4Tc3
Source: OQMD via LeMat-Bulk
Functional: PBE
Structure: optimized geometry

Lattice parameters (Å, degrees): 5.252 5.252 5.252 109.47 109.47 109.47
Each line ends with the local moment (μB).
Sites, in units of the cell vectors:
Ga 0.500 0.500 0.500  -0.01
Tc 0.500 0.500 0.000  0.80
Tc 0.500 0.000 0.500  0.81
Ga 0.000 0.000 0.500  -0.01
Tc 0.000 0.500 0.500  0.79
Ga 0.000 0.500 0.000  0.00
Ga 0.500 0.000 0.000  0.01

Values from the calculation:
Space group: No. 229
DFT total energy: -6.15 eV per atom
Crystal system: cubic